No. 1
Entry from the Alexandria database: an optimized crystal structure of CuSiSbI2 (PBE).

Output
- theoretical density (Mg/m³) = 4.80
- energy above the lowest structure with this stoichiometry (meV/atom) = 63.4
- DOS at the Fermi energy (states/eV/f.u.) = 4.7

Lattice parameters (Å, degrees): 5.4466 5.4466 5.4489 90.00 90.00 90.00
Closest atoms and distances in Å follow each position.
Positions (direct):
Si: 0.0000 0.0000 0.0000  4 I 2.72, 2 Sb 2.72
I: 0.0000 0.5000 0.0000  2 Si 2.72
I: 0.5000 0.0000 0.0000  2 Si 2.72
Sb: 0.0000 0.0000 0.5000  2 Si 2.72
Cu: 0.5000 0.5000 0.5000  4 Sb 3.85, 8 I 3.85

---

No. 2
Entry from the Alexandria database: an optimized crystal structure of CuSiSbI2 (PBE).

Output
- theoretical density (Mg/m³) = 5.35
- energy above the lowest structure with this stoichiometry (meV/atom) = 0.0
- DOS at the Fermi energy (states/eV/f.u.) = 4.3

Lattice parameters (Å, degrees): 5.3071 5.3071 5.1442 90.00 90.00 90.00
Closest atoms and distances in Å follow each position.
Positions (direct):
Sb: 0.0000 0.0000 0.5000  2 Cu 2.57
I: 0.0000 0.5000 0.0000  2 Cu 2.65
I: 0.5000 0.0000 0.0000  2 Cu 2.65
Cu: 0.0000 0.0000 0.0000  2 Sb 2.57, 4 I 2.65
Si: 0.5000 0.5000 0.5000  8 I 3.70, 4 Sb 3.75

---

No. 3
Entry from the Alexandria database: an optimized crystal structure of CuTcSb2I (PBE).

Output
- theoretical density (Mg/m³) = 6.47
- energy above the lowest structure with this stoichiometry (meV/atom) = 364.2
- DOS at the Fermi energy (states/eV/f.u.) = 4.0

Lattice parameters (Å, degrees): 5.0491 5.0491 5.3546 90.00 90.00 90.00
Closest atoms and distances in Å follow each position.
Positions (direct):
I: 0.0000 0.0000 0.5000  2 Cu 2.68
Sb: 0.5000 0.0000 0.0000  2 Cu 2.52
Sb: 0.0000 0.5000 0.0000  2 Cu 2.52
Tc: 0.5000 0.5000 0.5000  4 I 3.57, 8 Sb 3.68
Cu: 0.0000 0.0000 0.0000  4 Sb 2.52, 2 I 2.68

---

No. 4
Entry from the Alexandria database: an optimized crystal structure of CuTcSb2I (PBE).

Output
- theoretical density (Mg/m³) = 5.93
- energy above the lowest structure with this stoichiometry (meV/atom) = 0.0
- DOS at the Fermi energy (states/eV/f.u.) = 5.1

Lattice parameters (Å, degrees): 5.0398 5.0398 5.8616 90.00 90.00 90.00
Closest atoms and distances in Å follow each position.
Positions (direct):
Cu: 0.5000 0.5000 0.5000  4 I 3.56, 8 Sb 3.87
Sb: 0.5000 0.0000 0.0000  2 Tc 2.52
Sb: 0.0000 0.5000 0.0000  2 Tc 2.52
Tc: 0.0000 0.0000 0.0000  4 Sb 2.52
I: 0.0000 0.0000 0.5000  2 Tc 2.93

---

No. 5
Entry from the Alexandria database: an optimized crystal structure of CuSbTe2I (PBE).

Output
- theoretical density (Mg/m³) = 4.75
- energy above the lowest structure with this stoichiometry (meV/atom) = 924.0
- DOS at the Fermi energy (states/eV/f.u.) = 4.8

Lattice parameters (Å, degrees): 5.7939 5.7939 5.9082 90.00 90.00 90.00
Closest atoms and distances in Å follow each position.
Positions (direct):
Sb: 0.0000 0.0000 0.5000  2 I 2.95
Cu: 0.5000 0.5000 0.5000  4 Sb 4.10, 8 Te 4.14
I: 0.0000 0.0000 0.0000  4 Te 2.90, 2 Sb 2.95
Te: 0.0000 0.5000 0.0000  2 I 2.90
Te: 0.5000 0.0000 0.0000  2 I 2.90

---

No. 6
Entry from the Alexandria database: an optimized crystal structure of CuSbTe2I (PBE).

Output
- theoretical density (Mg/m³) = 6.45
- energy above the lowest structure with this stoichiometry (meV/atom) = 27.5
- DOS at the Fermi energy (states/eV/f.u.) = 4.1

Lattice parameters (Å, degrees): 5.0351 5.0351 5.7630 90.00 90.00 90.00
Closest atoms and distances in Å follow each position.
Positions (direct):
Sb: 0.0000 0.0000 0.5000  2 Cu 2.88
Te: 0.5000 0.0000 0.0000  2 Cu 2.52
Te: 0.0000 0.5000 0.0000  2 Cu 2.52
Cu: 0.0000 0.0000 0.0000  4 Te 2.52
I: 0.5000 0.5000 0.5000  4 Sb 3.56, 8 Te 3.83

---

No. 7
Entry from the Alexandria database: an optimized crystal structure of CuSbTe2I (PBE).

Output
- theoretical density (Mg/m³) = 6.62
- energy above the lowest structure with this stoichiometry (meV/atom) = 0.0
- DOS at the Fermi energy (states/eV/f.u.) = 3.9

Lattice parameters (Å, degrees): 5.2603 5.2603 5.1433 90.00 90.00 90.00
Closest atoms and distances in Å follow each position.
Positions (direct):
I: 0.0000 0.0000 0.5000  2 Cu 2.57
Sb: 0.5000 0.5000 0.5000  8 Te 3.68, 4 I 3.72
Te: 0.5000 0.0000 0.0000  2 Cu 2.63
Te: 0.0000 0.5000 0.0000  2 Cu 2.63
Cu: 0.0000 0.0000 0.0000  2 I 2.57, 4 Te 2.63

---

No. 8
Entry from the Alexandria database: an optimized crystal structure of CuSbTeI2 (PBE).

Output
- theoretical density (Mg/m³) = 6.33
- energy above the lowest structure with this stoichiometry (meV/atom) = 48.3
- DOS at the Fermi energy (states/eV/f.u.) = 5.5

Lattice parameters (Å, degrees): 5.2405 5.2405 5.4122 90.00 90.00 90.00
Closest atoms and distances in Å follow each position.
Positions (direct):
Cu: 0.0000 0.0000 0.0000  4 I 2.62, 2 Sb 2.71
Sb: 0.0000 0.0000 0.5000  2 Cu 2.71
I: 0.0000 0.5000 0.0000  2 Cu 2.62
I: 0.5000 0.0000 0.0000  2 Cu 2.62
Te: 0.5000 0.5000 0.5000  4 Sb 3.71, 8 I 3.77

---

No. 9
Entry from the Alexandria database: an optimized crystal structure of CuSbTeI2 (PBE).

Output
- theoretical density (Mg/m³) = 6.34
- energy above the lowest structure with this stoichiometry (meV/atom) = 0.0
- DOS at the Fermi energy (states/eV/f.u.) = 4.4

Lattice parameters (Å, degrees): 5.2560 5.2560 5.3759 90.00 90.00 90.00
Closest atoms and distances in Å follow each position.
Positions (direct):
I: 0.5000 0.0000 0.0000  2 Cu 2.63
I: 0.0000 0.5000 0.0000  2 Cu 2.63
Sb: 0.5000 0.5000 0.5000  4 Te 3.72, 8 I 3.76
Te: 0.0000 0.0000 0.5000  2 Cu 2.69
Cu: 0.0000 0.0000 0.0000  4 I 2.63, 2 Te 2.69

---

No. 10
Entry from the Alexandria database: an optimized crystal structure of TlCuSb2I (PBE).

Output
- theoretical density (Mg/m³) = 5.18
- energy above the lowest structure with this stoichiometry (meV/atom) = 828.9
- DOS at the Fermi energy (states/eV/f.u.) = 4.9

Lattice parameters (Å, degrees): 5.7492 5.7492 6.1881 90.00 90.00 90.00
Closest atoms and distances in Å follow each position.
Positions (direct):
Sb: 0.0000 0.5000 0.0000  2 Tl 2.87
Sb: 0.5000 0.0000 0.0000  2 Tl 2.87
Cu: 0.5000 0.5000 0.5000  4 I 4.07, 8 Sb 4.22
Tl: 0.0000 0.0000 0.0000  4 Sb 2.87, 2 I 3.09
I: 0.0000 0.0000 0.5000  2 Tl 3.09

---

No. 11
Entry from the Alexandria database: an optimized crystal structure of TlCu2SbI6 (PBE).

Output
- theoretical density (Mg/m³) = 5.24
- VASP energy (eV/atom) = -2.6803

Lattice parameters (Å, degrees): 7.7339 10.0218 10.0218 89.54 84.71 84.71
Closest atoms and distances in Å follow each position.
Positions (direct):
Tl: 0.7500 0.0823 0.9177  6 I 3.43-3.56
Tl: 0.2500 0.9177 0.0823  6 I 3.43-3.56
I: 0.6055 0.1501 0.6090  1 Cu 2.59
I: 0.6539 0.7460 0.9804  1 Cu 2.75
I: 0.1200 0.2868 0.4372  2 Cu 2.61-2.62
I: 0.3800 0.5628 0.7132  2 Cu 2.61-2.62
I: 0.8945 0.3910 0.8499  1 Cu 2.59
I: 0.6200 0.4372 0.2868  2 Cu 2.61-2.62
I: 0.1539 0.9804 0.7460  1 Cu 2.75
I: 0.3945 0.8499 0.3910  1 Cu 2.59
I: 0.3461 0.2540 0.0196  1 Cu 2.75
I: 0.8461 0.0196 0.2540  1 Cu 2.75
I: 0.8800 0.7132 0.5628  2 Cu 2.61-2.62
I: 0.1055 0.6090 0.1501  1 Cu 2.59
Cu: 0.7944 0.2462 0.4109  4 I 2.59-2.75
Cu: 0.2944 0.4109 0.2462  4 I 2.59-2.75
Cu: 0.2056 0.7538 0.5891  4 I 2.59-2.75
Cu: 0.7056 0.5891 0.7538  4 I 2.59-2.75
Sb: 0.7500 0.7249 0.2751  6 I 3.05-3.14
Sb: 0.2500 0.2751 0.7249  6 I 3.05-3.14

---

No. 12
Entry from the Alexandria database: an optimized crystal structure of TlCuSb2I (PBE).

Output
- theoretical density (Mg/m³) = 6.41
- energy above the lowest structure with this stoichiometry (meV/atom) = 0.0
- DOS at the Fermi energy (states/eV/f.u.) = 5.4

Lattice parameters (Å, degrees): 5.0319 5.0319 6.5326 90.00 90.00 90.00
Closest atoms and distances in Å follow each position.
Positions (direct):
I: 0.0000 0.0000 0.5000  2 Cu 3.27, 4 Tl 3.56
Cu: 0.0000 0.0000 0.0000  4 Sb 2.52
Sb: 0.5000 0.0000 0.0000  2 Cu 2.52
Sb: 0.0000 0.5000 0.0000  2 Cu 2.52
Tl: 0.5000 0.5000 0.5000  4 I 3.56

---

No. 13
Entry from the Alexandria database: an optimized crystal structure of VCuSbI2 (PBE).

Output
- theoretical density (Mg/m³) = 5.47
- energy above the lowest structure with this stoichiometry (meV/atom) = 0.0
- DOS at the Fermi energy (states/eV/f.u.) = 5.6

Lattice parameters (Å, degrees): 5.3093 5.3093 5.2742 90.00 90.00 90.00
Closest atoms and distances in Å follow each position.
Positions (direct):
Cu: 0.5000 0.5000 0.5000  8 I 3.74, 4 Sb 3.75
I: 0.5000 0.0000 0.0000  2 V 2.65
I: 0.0000 0.5000 0.0000  2 V 2.65
V: 0.0000 0.0000 0.0000  2 Sb 2.64, 4 I 2.65
Sb: 0.0000 0.0000 0.5000  2 V 2.64